No. 1
! CdPAu2 (PBE-GGA, relaxed); values from VASP
! ρ (g/cm³): 12.15
! Crystal system: orthorhombic
! Energy of formation (eV/f.u.): 0.8
! Symmetry: Cmmm
&SYSTEM
  ibrav = 0, nat = 4, ntyp = 3
/
ATOMIC_SPECIES
Au 196.97 Au.upf
Cd 112.41 Cd.upf
P 30.97 P.upf
ATOMIC_POSITIONS angstrom
Au 0.0000 0.0000 0.0000
Au -2.4454 -0.9870 1.1798
Cd -2.6030 0.9436 -1.0690
P -0.7520 0.8958 2.7278
CELL_PARAMETERS angstrom
-4.2965 -0.9391 -2.6170
-0.5944 -1.0348 4.9766
-0.9096 2.8263 0.4791

No. 2
! CdPAu2 (PBE-GGA, relaxed); values from VASP
! ρ (g/cm³): 10.83
! Crystal system: monoclinic
! Energy of formation (eV/f.u.): 0.2
! Symmetry: Cm
&SYSTEM
  ibrav = 0, nat = 4, ntyp = 3
/
ATOMIC_SPECIES
Au 196.97 Au.upf
Cd 112.41 Cd.upf
P 30.97 P.upf
ATOMIC_POSITIONS angstrom
Au -1.4623 -7.5237 0.7066
Au 0.2253 -8.0216 3.1355
Cd 0.0716 -5.4588 2.0247
P -0.3614 -1.8484 0.1708
CELL_PARAMETERS angstrom
-2.5572 -3.4938 0.9341
0.3022 -4.2507 -1.2077
2.7406 -2.3275 4.4811

No. 3
! CdPPbAu2 (PBE-GGA, relaxed); values from VASP
! ρ (g/cm³): 8.12
! Crystal system: tetragonal
! Energy of formation (eV/f.u.): 4.2
! Symmetry: P4/mmm
&SYSTEM
  ibrav = 0, nat = 5, ntyp = 4
/
ATOMIC_SPECIES
Pb 207.20 Pb.upf
P 30.97 P.upf
Au 196.97 Au.upf
Cd 112.41 Cd.upf
ATOMIC_POSITIONS angstrom
Pb 0.0000 0.0000 0.0000
P 0.0000 2.6546 0.0000
Au 0.0000 0.0000 2.6784
Au 2.6784 0.0000 0.0000
Cd 2.6784 2.6546 2.6784
CELL_PARAMETERS angstrom
5.3567 0.0000 0.0000
0.0000 5.3093 0.0000
0.0000 0.0000 5.3567

No. 4
! PmCdPAu (PBE-GGA, relaxed); values from VASP
! ρ (g/cm³): 9.19
! Crystal system: cubic
! Energy of formation (eV/f.u.): -2.0
! Symmetry: F-43m
&SYSTEM
  ibrav = 0, nat = 4, ntyp = 4
/
ATOMIC_SPECIES
P 30.97 P.upf
Cd 112.41 Cd.upf
Au 196.97 Au.upf
Pm 145.00 Pm.upf
ATOMIC_POSITIONS angstrom
P 7.4809 4.3191 3.0541
Cd 0.0000 0.0000 0.0000
Au 2.4936 1.4397 1.0180
Pm 4.9873 2.8794 2.0360
CELL_PARAMETERS angstrom
4.9873 0.0000 0.0000
2.4936 4.3191 0.0000
2.4936 1.4397 4.0721

No. 5
! Cd2PPtAu (PBE-GGA, relaxed); values from VASP
! ρ (g/cm³): 8.11
! Crystal system: tetragonal
! Energy of formation (eV/f.u.): 3.5
! Symmetry: P4/mmm
&SYSTEM
  ibrav = 0, nat = 5, ntyp = 4
/
ATOMIC_SPECIES
P 30.97 P.upf
Au 196.97 Au.upf
Pt 195.08 Pt.upf
Cd 112.41 Cd.upf
ATOMIC_POSITIONS angstrom
P 2.5498 2.5517 2.5498
Au 0.0000 2.5517 0.0000
Pt 0.0000 0.0000 0.0000
Cd 0.0000 0.0000 2.5498
Cd 2.5498 0.0000 0.0000
CELL_PARAMETERS angstrom
5.0996 0.0000 0.0000
0.0000 5.1035 0.0000
0.0000 0.0000 5.0996

No. 6
! CdP2AuS (PBE-GGA, relaxed); values from VASP
! ρ (g/cm³): 5.49
! Raw formation energy (meV/atom): 1328
! Crystal system: tetragonal
! Symmetry: P4/mmm
&SYSTEM
  ibrav = 0, nat = 5, ntyp = 4
/
ATOMIC_SPECIES
P 30.97 P.upf
S 32.06 S.upf
Au 196.97 Au.upf
Cd 112.41 Cd.upf
ATOMIC_POSITIONS angstrom
P 0.7970 -2.2831 -0.5754
P -1.4259 0.0154 -2.0360
S -1.8602 -0.9759 1.2955
Au -2.4891 -3.2436 -1.3159
Cd 0.0000 0.0000 0.0000
CELL_PARAMETERS angstrom
-2.8519 0.0307 -4.0719
1.5940 -4.5661 -1.1509
-3.7204 -1.9518 2.5910